[1]
The following is a DFT calculation (PBE-GGA) of crystalline LiMnSbI2 at its relaxed geometry. Values from VASP.

Geometry as Quantum ESPRESSO input:
```
&SYSTEM
  ibrav = 0, nat = 5, ntyp = 4
/
ATOMIC_SPECIES
I 126.90 I.upf
Sb 121.76 Sb.upf
Mn 54.94 Mn.upf
Li 6.94 Li.upf
CELL_PARAMETERS angstrom
5.307 0.000 0.000
0.000 5.307 0.000
0.000 0.000 5.413
ATOMIC_POSITIONS angstrom
I 0.000 2.653 0.000
I 2.653 0.000 0.000
Sb 0.000 0.000 2.706
Mn 2.653 2.653 2.706
Li 0.000 0.000 0.000
```

Calculated values
Offset from the most stable computed form (eV/f.u.): 2.08
ρ (kg/m³): 4765
E_form (uncorrected) (eV per formula unit): 1.9

[2]
The following is a DFT calculation (PBE-GGA) of crystalline LiMnTeI2 at its relaxed geometry. Values from VASP.

Geometry as Quantum ESPRESSO input:
```
&SYSTEM
  ibrav = 0, nat = 5, ntyp = 4
/
ATOMIC_SPECIES
I 126.90 I.upf
Te 127.60 Te.upf
Mn 54.94 Mn.upf
Li 6.94 Li.upf
CELL_PARAMETERS angstrom
5.359 0.000 0.000
0.000 5.359 0.000
0.000 0.000 5.368
ATOMIC_POSITIONS angstrom
I 0.000 2.680 0.000
I 2.680 0.000 0.000
Te 0.000 0.000 2.684
Mn 2.680 2.680 2.684
Li 0.000 0.000 0.000
```

Calculated values
Offset from the most stable computed form (eV/f.u.): 2.28
ρ (kg/m³): 4775
E_form (uncorrected) (eV per formula unit): 1.2

[3]
The following is a DFT calculation (PBE-GGA) of crystalline LiMnTeI2 at its relaxed geometry. Values from VASP.

Geometry as Quantum ESPRESSO input:
```
&SYSTEM
  ibrav = 0, nat = 5, ntyp = 4
/
ATOMIC_SPECIES
I 126.90 I.upf
Te 127.60 Te.upf
Mn 54.94 Mn.upf
Li 6.94 Li.upf
CELL_PARAMETERS angstrom
5.802 0.000 0.000
0.000 5.802 0.000
0.000 0.000 5.224
ATOMIC_POSITIONS angstrom
I 0.000 2.901 0.000
I 2.901 0.000 0.000
Te 0.000 0.000 2.612
Mn 0.000 0.000 0.000
Li 2.901 2.901 2.612
```

Calculated values
Offset from the most stable computed form (eV/f.u.): 0.00
ρ (kg/m³): 4186
E_form (uncorrected) (eV per formula unit): -1.1

[4]
The following is a DFT calculation (PBE-GGA) of crystalline LiTiMn2I at its relaxed geometry. Values from VASP.

Geometry as Quantum ESPRESSO input:
```
&SYSTEM
  ibrav = 0, nat = 5, ntyp = 4
/
ATOMIC_SPECIES
I 126.90 I.upf
Mn 54.94 Mn.upf
Li 6.94 Li.upf
Ti 47.87 Ti.upf
CELL_PARAMETERS angstrom
-3.929 -2.076 0.880
2.112 -2.530 3.462
-1.038 3.235 2.997
ATOMIC_POSITIONS angstrom
I -1.427 -0.686 3.669
Mn -0.519 1.617 1.498
Mn -1.965 -1.038 0.440
Li 0.000 0.000 0.000
Ti 1.056 -1.265 1.731
```

Calculated values
ρ (kg/m³): 4937
E_form (uncorrected) (eV per formula unit): 4.7

[5]
The following is a DFT calculation (PBE-GGA) of crystalline Li2MnTlI6 at its relaxed geometry. Values from VASP.

Geometry as Quantum ESPRESSO input:
```
&SYSTEM
  ibrav = 0, nat = 20, ntyp = 4
/
ATOMIC_SPECIES
Li 6.94 Li.upf
Mn 54.94 Mn.upf
Tl 204.38 Tl.upf
I 126.90 I.upf
CELL_PARAMETERS angstrom
8.963 0.240 0.249
3.169 9.691 0.744
3.169 0.384 9.712
ATOMIC_POSITIONS angstrom
Li 6.797 6.482 5.472
Li 4.022 4.967 3.901
Li 8.504 3.834 5.233
Li 11.279 5.348 6.805
Mn 5.410 2.061 8.217
Mn 9.891 8.255 2.488
Tl 5.410 8.210 2.291
Tl 9.891 2.105 8.414
I 7.062 9.726 8.449
I 3.757 2.113 0.548
I 8.239 0.590 2.256
I 11.544 8.203 10.157
I 8.151 8.815 4.358
I 2.668 6.168 1.610
I 7.150 1.500 6.348
I 12.633 4.148 9.095
I 4.103 7.066 5.713
I 6.716 4.748 3.307
I 11.198 3.249 4.992
I 8.585 5.568 7.398
```

Calculated values
ρ (kg/m³): 4155
E_form (uncorrected) (eV per formula unit): -7.0

[6]
The following is a DFT calculation (PBE-GGA) of crystalline LiMnTl2I6 at its relaxed geometry. Values from VASP.

Geometry as Quantum ESPRESSO input:
```
&SYSTEM
  ibrav = 0, nat = 10, ntyp = 4
/
ATOMIC_SPECIES
Li 6.94 Li.upf
Mn 54.94 Mn.upf
Tl 204.38 Tl.upf
I 126.90 I.upf
CELL_PARAMETERS angstrom
-2.411 -7.775 2.673
2.023 -3.539 7.434
-5.489 -1.001 6.607
ATOMIC_POSITIONS angstrom
Li -3.641 -9.214 12.376
Mn -5.459 -4.566 9.904
Tl -2.406 -6.649 7.731
Tl -5.012 -1.266 6.598
I -2.989 -5.454 4.561
I -1.714 -1.799 2.343
I -0.170 -2.432 5.683
I -4.030 -6.612 10.996
I -5.911 -6.159 7.731
I -3.112 -3.296 8.829
```

Calculated values
ρ (kg/m³): 5086
E_form (uncorrected) (eV per formula unit): -6.0